1.
CePm2Ru2 (PBE, relaxed); D(E_F) = 4.684 states/eV/cell; E_tot = -6.999 eV/atom; total magnetic moment = 0.00 μB/f.u.; ΔE_f = -0.201 eV per atom
1.0
-3.806 5.395 3.161
3.806 -5.395 3.161
3.806 5.395 -3.161
Ce Pm Ru
2 4 4
direct
0.250 0.250 0.000 Ce
0.750 0.750 0.000 Ce
0.168 0.626 0.794 Pm
0.332 0.126 0.458 Pm
0.668 0.874 0.542 Pm
0.832 0.374 0.206 Pm
0.079 0.246 0.325 Ru
0.421 0.746 0.168 Ru
0.579 0.254 0.832 Ru
0.921 0.754 0.675 Ru

2.
Ce2PmRu (PBE, relaxed); D(E_F) = 16.139 states/eV/cell; E_tot = -6.686 eV/atom; total magnetic moment = 0.00 μB/f.u.; ΔE_f = -0.212 eV per atom
1.0
1.870 -5.875 0.000
1.870 5.875 0.000
0.000 0.000 9.539
Ce Pm Ru
4 2 2
direct
0.141 0.859 0.560 Ce
0.141 0.859 0.940 Ce
0.859 0.141 0.060 Ce
0.859 0.141 0.440 Ce
0.422 0.578 0.750 Pm
0.578 0.422 0.250 Pm
0.297 0.703 0.250 Ru
0.703 0.297 0.750 Ru

3.
CePm4Ru2 (PBE, relaxed); D(E_F) = 7.734 states/eV/cell; E_tot = -6.310 eV/atom; total magnetic moment = 0.00 μB/f.u.; ΔE_f = -0.097 eV per atom
1.0
2.635 1.522 8.549
-2.635 1.522 8.549
0.000 -3.043 8.549
Ce Pm Ru
1 4 2
direct
0.000 0.000 0.000 Ce
0.206 0.206 0.206 Pm
0.398 0.398 0.398 Pm
0.602 0.602 0.602 Pm
0.794 0.794 0.794 Pm
0.093 0.093 0.093 Ru
0.907 0.907 0.907 Ru